1.
{
  "formula": "ZrCu2F",
  "functional": "PBEsol",
  "state": "relaxed",
  "lattice_angstrom": [[4.3282, 0.0000, 0.0000], [2.1641, 3.7483, 0.0000], [2.1641, 1.2494, 3.5339]],
  "species": ["Cu", "Cu", "Zr", "F"],
  "frac_coords": [[0.2500, 0.2500, 0.2500], [0.7500, 0.7500, 0.7500], [0.5000, 0.5000, 0.5000], [0.0000, 0.0000, 0.0000]],
  "raw_formation_energy_ev_per_atom": -0.0800
}

2.
{
  "formula": "ZrCuF6",
  "functional": "PBEsol",
  "state": "relaxed",
  "lattice_angstrom": [[-2.4497, 0.9774, -5.0008], [-5.4874, -1.1472, -0.7321], [-3.7217, 4.2205, -0.5479]],
  "species": ["Cu", "Zr", "F", "F", "F", "F", "F", "F"],
  "frac_coords": [[0.5000, 0.5000, 0.5000], [0.0000, 0.0000, 0.0000], [0.7492, 0.2508, 0.2508], [0.2508, 0.7492, 0.7492], [0.7492, 0.7492, 0.2508], [0.2508, 0.2508, 0.7492], [0.2508, 0.7492, 0.2508], [0.7492, 0.2508, 0.7492]],
  "raw_formation_energy_ev_per_atom": -2.8691
}

3.
{
  "formula": "Fe3Cu",
  "functional": "PBEsol",
  "state": "relaxed",
  "lattice_angstrom": [[-1.5235, -1.7312, 0.7083], [2.2382, -0.8978, 0.0647], [0.7600, 2.4424, 7.6041]],
  "species": ["Fe", "Fe", "Fe", "Cu"],
  "frac_coords": [[0.0000, 0.0000, 0.5000], [0.5000, 0.5000, 0.2528], [0.5000, 0.5000, 0.7472], [0.0000, 0.0000, 0.0000]],
  "delta_e_f_kj_per_mol_atoms": 10.3
}

4.
{
  "formula": "FeCu",
  "functional": "PBEsol",
  "state": "relaxed",
  "lattice_angstrom": [[-1.8577, -2.7819, 0.1400], [0.9971, -2.7615, -1.6091], [1.0825, -2.6503, 1.7360]],
  "species": ["Cu", "Fe"],
  "frac_coords": [[0.0000, 0.0000, 0.0000], [0.5000, 0.5000, 0.5000]],
  "delta_e_f_kj_per_mol_atoms": 86.1
}

5.
{
  "formula": "FeCu",
  "functional": "PBEsol",
  "state": "relaxed",
  "lattice_angstrom": [[2.4242, 0.0070, 0.0000], [-0.7654, 2.3002, 0.0000], [0.0000, 0.0000, 7.9944]],
  "species": ["Fe", "Fe", "Cu", "Cu"],
  "frac_coords": [[0.2500, 0.7500, 0.6218], [0.7500, 0.2500, 0.3782], [0.2500, 0.7500, 0.1260], [0.7500, 0.2500, 0.8740]],
  "delta_e_f_kj_per_mol_atoms": 10.3
}

6.
{
  "formula": "Ga3FeCu",
  "functional": "PBEsol",
  "state": "relaxed",
  "lattice_angstrom": [[4.4393, 0.0000, 0.0000], [0.0000, 4.4393, 0.0000], [0.0000, 0.0000, 4.4393]],
  "species": ["Cu", "Ga", "Ga", "Ga", "Fe"],
  "frac_coords": [[0.5000, 0.5000, 0.5000], [0.0000, 0.5000, 0.0000], [0.0000, 0.0000, 0.5000], [0.5000, 0.0000, 0.0000], [0.0000, 0.0000, 0.0000]],
  "delta_e_f_kj_per_mol_atoms": 32.3
}

7.
{
  "formula": "NbGaFe2Cu",
  "functional": "PBEsol",
  "state": "relaxed",
  "lattice_angstrom": [[-0.7097, -4.1906, -1.1466], [4.3285, -0.5820, -0.5521], [0.4206, -1.3681, 4.7395]],
  "species": ["Nb", "Cu", "Ga", "Fe", "Fe"],
  "frac_coords": [[0.0000, 0.0000, 0.0000], [0.5000, 0.5000, 0.5000], [0.0000, 0.0000, 0.5000], [0.0000, 0.5000, 0.0000], [0.5000, 0.0000, 0.0000]],
  "delta_e_f_kj_per_mol_atoms": 150.2
}

8.
{
  "formula": "Fe2CuGe2",
  "functional": "PBEsol",
  "state": "relaxed",
  "lattice_angstrom": [[-0.4861, -0.1876, -3.8270], [-3.1524, -3.6617, 0.5799], [-5.0167, 4.3859, 0.4222]],
  "species": ["Fe", "Fe", "Fe", "Fe", "Cu", "Cu", "Ge", "Ge", "Ge", "Ge"],
  "frac_coords": [[0.5000, 0.7500, 0.8467], [0.5000, 0.2500, 0.1533], [0.5000, 0.5000, 0.5000], [0.5000, 0.0000, 0.5000], [0.0000, 0.0000, 0.0000], [0.0000, 0.5000, 0.0000], [0.0000, 0.7500, 0.6283], [0.0000, 0.2500, 0.3717], [0.5000, 0.2500, 0.8024], [0.5000, 0.7500, 0.1976]],
  "delta_e_f_kj_per_mol_atoms": -14.9
}

9.
{
  "formula": "FeCu2GeS4",
  "functional": "PBEsol",
  "state": "relaxed",
  "lattice_angstrom": [[5.2350, 0.0000, 0.0000], [0.0000, 5.2350, 0.0000], [-2.6175, -2.6175, 5.1770]],
  "species": ["S", "S", "S", "S", "Ge", "Fe", "Cu", "Cu"],
  "frac_coords": [[0.1267, 0.6205, 0.7472], [0.3795, 0.3795, 0.2528], [0.6205, 0.1267, 0.7472], [0.8733, 0.8733, 0.2528], [0.0000, 0.0000, 0.0000], [0.5000, 0.5000, 0.0000], [0.7500, 0.2500, 0.5000], [0.2500, 0.7500, 0.5000]],
  "raw_formation_energy_ev_per_atom": -0.3400
}

10.
{
  "formula": "FeCu2GeSe4",
  "functional": "PBEsol",
  "state": "relaxed",
  "lattice_angstrom": [[-1.2680, 1.5314, -5.1658], [1.0639, -5.1313, -1.7823], [-5.1188, 0.4150, 4.3450]],
  "species": ["Ge", "Cu", "Cu", "Se", "Se", "Se", "Se", "Fe"],
  "frac_coords": [[0.0000, 0.0000, 0.0000], [0.7500, 0.2500, 0.5000], [0.2500, 0.7500, 0.5000], [0.6137, 0.1291, 0.7428], [0.8709, 0.8709, 0.2572], [0.3863, 0.3863, 0.2572], [0.1291, 0.6137, 0.7428], [0.5000, 0.5000, 0.0000]],
  "raw_formation_energy_ev_per_atom": -0.1809
}

11.
{
  "formula": "Fe3CuH",
  "functional": "PBEsol",
  "state": "relaxed",
  "lattice_angstrom": [[-3.4945, 0.8367, 0.0670], [-0.4557, -2.1320, 2.8570], [0.7049, 2.7695, 2.1792]],
  "species": ["H", "Fe", "Fe", "Fe", "Cu"],
  "frac_coords": [[0.0000, 0.0000, 0.0000], [0.0000, 0.5000, 0.0000], [0.0000, 0.0000, 0.5000], [0.5000, 0.0000, 0.0000], [0.5000, 0.5000, 0.5000]]
}

12.
{
  "formula": "FeCuI2",
  "functional": "PBEsol",
  "state": "relaxed",
  "lattice_angstrom": [[4.9300, 0.0000, 0.0000], [2.4650, 4.2695, 0.0000], [2.4650, 1.4232, 4.0253]],
  "species": ["I", "I", "Fe", "Cu"],
  "frac_coords": [[0.2500, 0.2500, 0.2500], [0.7500, 0.7500, 0.7500], [0.0000, 0.0000, 0.0000], [0.5000, 0.5000, 0.5000]],
  "raw_formation_energy_ev_per_atom": 0.7305
}

13.
{
  "formula": "In2FeCuI",
  "functional": "PBEsol",
  "state": "relaxed",
  "lattice_angstrom": [[4.8861, 0.0000, 0.0000], [0.0000, 5.0215, 0.0000], [0.0000, 0.0000, 5.0215]],
  "species": ["I", "Fe", "Cu", "In", "In"],
  "frac_coords": [[0.5000, 0.0000, 0.0000], [0.0000, 0.0000, 0.0000], [0.5000, 0.5000, 0.5000], [0.0000, 0.0000, 0.5000], [0.0000, 0.5000, 0.0000]],
  "raw_formation_energy_ev_per_atom": 0.6691
}

14.
{
  "formula": "FeCuTe2I",
  "functional": "PBEsol",
  "state": "relaxed",
  "lattice_angstrom": [[4.8646, 0.0000, 0.0000], [0.0000, 4.8646, 0.0000], [0.0000, 0.0000, 5.5018]],
  "species": ["I", "Te", "Te", "Fe", "Cu"],
  "frac_coords": [[0.0000, 0.0000, 0.5000], [0.0000, 0.5000, 0.0000], [0.5000, 0.0000, 0.0000], [0.0000, 0.0000, 0.0000], [0.5000, 0.5000, 0.5000]],
  "raw_formation_energy_ev_per_atom": 0.7236
}

15.
{
  "formula": "FeCuIr",
  "functional": "PBEsol",
  "state": "relaxed",
  "lattice_angstrom": [[2.6274, 0.0000, 0.0000], [-1.3137, 2.2754, 0.0000], [0.0000, 0.0000, 6.2718]],
  "species": ["Ir", "Fe", "Cu"],
  "frac_coords": [[0.6667, 0.3333, 0.3408], [0.3333, 0.6667, 0.6681], [0.0000, 0.0000, 0.9911]],
  "delta_e_f_kj_per_mol_atoms": 8.8
}

16.
{
  "formula": "FeCuIr2",
  "functional": "PBEsol",
  "state": "relaxed",
  "lattice_angstrom": [[-0.4966, -2.5252, -0.6835], [2.2597, 1.8734, -3.3761], [3.5102, -1.4084, 2.6534]],
  "species": ["Ir", "Ir", "Fe", "Cu"],
  "frac_coords": [[0.7560, 0.5121, 0.7532], [0.2440, 0.4879, 0.2468], [0.5000, 0.0000, 0.0000], [0.0000, 0.0000, 0.5000]],
  "de_polymorph_mev_per_atom": 30,
  "delta_e_f_kj_per_mol_atoms": 4.5
}

17.
{
  "formula": "FeCuIr2",
  "functional": "PBEsol",
  "state": "relaxed",
  "lattice_angstrom": [[2.6229, 0.0118, 0.0000], [-1.2862, 2.2859, 0.0000], [0.0000, 0.0000, 8.8098]],
  "species": ["Cu", "Fe", "Ir", "Ir"],
  "frac_coords": [[0.0000, 0.0000, 0.4905], [0.5000, 0.5000, 0.2553], [0.0000, 0.0000, 0.0121], [0.5000, 0.5000, 0.7421]],
  "de_polymorph_mev_per_atom": 275,
  "delta_e_f_kj_per_mol_atoms": 28.1
}

18.
{
  "formula": "Fe2CuIr",
  "functional": "PBEsol",
  "state": "relaxed",
  "lattice_angstrom": [[2.5900, 0.0000, 0.0000], [0.0000, 3.6579, 0.0000], [0.0000, 0.0000, 5.0714]],
  "species": ["Ir", "Fe", "Fe", "Cu"],
  "frac_coords": [[0.5000, 0.5000, 0.0000], [0.0000, 0.0000, 0.7485], [0.0000, 0.0000, 0.2515], [0.5000, 0.5000, 0.5000]],
  "delta_e_f_kj_per_mol_atoms": 8.1
}

19.
{
  "formula": "Fe2CuIr",
  "functional": "PBEsol",
  "state": "relaxed",
  "lattice_angstrom": [[-3.3596, 0.5999, 1.2844], [0.6912, -2.1913, 2.8315], [2.5677, 3.6381, -0.1593]],
  "species": ["Cu", "Fe", "Fe", "Ir"],
  "frac_coords": [[0.0000, 0.0000, 0.0000], [0.7500, 0.2500, 0.5000], [0.2500, 0.7500, 0.5000], [0.5000, 0.5000, 0.0000]],
  "delta_e_f_kj_per_mol_atoms": 8.4
}

20.
{
  "formula": "Fe2CuIr",
  "functional": "PBEsol",
  "state": "relaxed",
  "lattice_angstrom": [[3.6233, 0.0000, 0.0000], [0.0000, 3.6233, 0.0000], [0.0000, 0.0000, 3.6705]],
  "species": ["Ir", "Fe", "Fe", "Cu"],
  "frac_coords": [[0.5000, 0.5000, 0.5000], [0.0000, 0.5000, 0.0000], [0.5000, 0.0000, 0.0000], [0.0000, 0.0000, 0.5000]],
  "delta_e_f_kj_per_mol_atoms": 7.5
}

Going through the records in order, we get uncorrected energy values of -20.006 -47.941 -30.798 -11.514 -26.167 -21.645 -28.638 -65.821 -42.827 -39.419 -34.203 -13.909 -17.685 -18.499 -22.847 -32.760 -31.782 -31.748 -31.735 -31.775 eV per cell.